(1)
VASP calculation (GGA-PBE) on an optimized crystal structure of Pm4Pr3Y3.

Cell: 3.808 13.435 13.575 Å, 90.00 90.00 90.00°
Space group Amm2 (No. 38)
Inequivalent atoms, fractional coordinates:
Pm 0.000 0.000 0.000 x2
Pm 0.000 0.000 0.261 x2
Pm 0.000 0.129 0.632 x4
Pr 0.500 0.000 0.460 x2
Pr 0.500 0.170 0.130 x4
Y 0.000 0.246 0.879 x4
Y 0.500 0.000 0.801 x2



(2)
VASP calculation (GGA-PBE) on an optimized crystal structure of Pm2Pr3Y3.

Summary:
relative energy among the computed polymorphs	0.0677	eV/atom

Cell: 16.442 5.868 6.115 Å, 90.00 110.30 90.00°
Space group C2/m (No. 12)
Inequivalent atoms, fractional coordinates:
Pm 0.250 0.000 0.183 x4
Pr 0.000 0.500 0.500 x2
Pr 0.135 0.500 0.193 x4
Y 0.000 0.000 0.000 x2
Y 0.130 0.000 0.582 x4



(3)
VASP calculation (GGA-PBE) on an optimized crystal structure of Pm2Pr2Y3.

Summary:
relative energy among the computed polymorphs	0.1126	eV/atom

Cell: 17.144 3.525 8.921 Å, 90.00 116.73 90.00°
Space group C2/m (No. 12)
Inequivalent atoms, fractional coordinates:
Pm 0.139 0.000 0.408 x4
Pr 0.079 0.500 0.704 x4
Y 0.000 0.500 0.000 x2
Y 0.220 0.500 0.146 x4



(4)
VASP calculation (GGA-PBE) on an optimized crystal structure of Pm6PrY5.

Summary:
relative energy among the computed polymorphs	0.0045	eV/atom

Cell: 11.431 15.373 5.133 Å, 90.00 116.61 90.00°
Space group C2/m (No. 12)
Inequivalent atoms, fractional coordinates:
Pm 0.248 0.000 0.248 x4
Pm 0.249 0.167 0.749 x8
Pr 0.000 0.500 0.000 x2
Y 0.000 0.000 0.500 x2
Y 0.000 0.167 0.000 x4
Y 0.000 0.333 0.500 x4



(5)
VASP calculation (GGA-PBE) on an optimized crystal structure of Pm11Pr4Y9.

Cell: 17.076 25.647 3.743 Å, 90.00 90.00 90.00°
Space group Cmmm (No. 65)
Inequivalent atoms, fractional coordinates:
Pm 0.000 0.000 0.000 x2
Pm 0.000 0.158 0.000 x4
Pm 0.000 0.365 0.000 x4
Pm 0.210 0.500 0.000 x4
Pm 0.227 0.181 0.000 x8
Pr 0.154 0.399 0.500 x8
Y 0.000 0.500 0.500 x2
Y 0.101 0.263 0.500 x8
Y 0.139 0.073 0.500 x8



(6)
VASP calculation (GGA-PBE) on an optimized crystal structure of Pm2Pr3Y8.

Summary:
relative energy among the computed polymorphs	0.0000	eV/atom

Cell: 8.206 5.320 10.669 Å, 90.00 105.26 90.00°
Space group P2/m (No. 10)
Inequivalent atoms, fractional coordinates:
Pm 0.171 0.000 0.099 x2
Pr 0.226 0.500 0.571 x2
Pr 0.500 0.000 0.500 x1
Y 0.037 0.000 0.353 x2
Y 0.123 0.500 0.886 x2
Y 0.340 0.500 0.268 x2
Y 0.391 0.000 0.821 x2



(7)
VASP calculation (GGA-PBE) on an optimized crystal structure of PmPr2Y3.

Summary:
relative energy among the computed polymorphs	0.1831	eV/atom

Cell: 6.720 17.864 3.443 Å, 90.00 90.00 90.00°
Space group Pnnm (No. 58)
Inequivalent atoms, fractional coordinates:
Pm 0.000 0.000 0.000 x2
Pr 0.232 0.349 0.500 x4
Y 0.000 0.500 0.000 x2
Y 0.237 0.178 0.000 x4



(8)
VASP calculation (GGA-PBE) on an optimized crystal structure of PmPr3Y3.

Summary:
relative energy among the computed polymorphs	0.1160	eV/atom

Cell: 10.7754 10.7754 7.2312 Å, 90.00 90.00 120.00°
Space group R3m (No. 160, hexagonal axes)
Inequivalent atoms, fractional coordinates:
Pm 0.0000 0.0000 0.0000 x3
Pr 0.1875 0.3749 0.8473 x9
Y 0.2114 0.4228 0.3132 x9



Quick rundown of E_tot, same order as above: -5.1765; -5.3204; -5.3647; -5.4506; -5.3423; -5.6607; -5.3715; -5.2539 eV/atom
Quick rundown of size of the total moment, same order as above: 0.00; 0.00; 0.00; 0.00; 0.00; 0.00; 0.00; 0.00 Bohr magnetons per cell